# BaV2ZnO7 GGA+U optimized geometry
# E above lowest polymorph	31	meV per atom
data_BaV2ZnO7
_cell_length_a 15.4523
_cell_length_b 5.5284
_cell_length_c 7.5687
_cell_angle_alpha 90.00
_cell_angle_beta 90.00
_cell_angle_gamma 90.00
_space_group_name_H-M_alt 'P n m a'
_space_group_IT_number 62
_space_group_name_Hall '-P 2ac 2n'
loop_
_atom_site_label
_atom_site_fract_x
_atom_site_fract_y
_atom_site_fract_z
Ba1 0.2154 0.2500 0.1494
V1 0.0617 0.7500 0.2910
V2 0.1346 0.2500 0.6729
Zn1 0.0474 0.7500 0.8859
O1 0.0303 0.2500 0.5595
O2 0.0530 0.0002 0.1514
O3 0.1403 0.5041 0.8064
O4 0.1595 0.7500 0.3888
O5 0.2203 0.2500 0.5335